No. 1
Below is a relaxed structure of Li2CeCuO4, with properties calculated at the PBE-GGA level.

Values from the calculation:
ρ (kg/m3): 5121
Uncorrected formation energy (eV/atom): -1.93

Cell lengths 3.364, 5.927, 9.551 Å; angles 90.00, 90.00, 106.48 degrees
Sites, in units of the cell vectors:
Li 0.402 0.804 0.544
Li 0.598 0.196 0.044
Li 0.598 0.196 0.456
Li 0.402 0.804 0.956
Ce 0.075 0.151 0.750
Ce 0.925 0.849 0.250
Cu 0.808 0.616 0.750
Cu 0.192 0.384 0.250
O 0.322 0.645 0.126
O 0.678 0.355 0.626
O 0.678 0.355 0.874
O 0.322 0.645 0.374
O 0.000 0.000 0.500
O 0.000 0.000 0.000
O 0.420 0.841 0.750
O 0.580 0.159 0.250

No. 2
Below is a relaxed structure of RbUPb2Se6, with properties calculated at the PBE-GGA level.

Values from the calculation:
ρ (kg/m3): 5713
Uncorrected formation energy (eV/atom): -0.74

Cell lengths 7.280, 8.967, 10.796 Å; angles 90.00, 88.06, 90.00 degrees
Sites, in units of the cell vectors:
Rb 0.500 0.000 0.000
Rb 0.000 0.500 0.500
U 0.500 0.000 0.500
U 0.000 0.500 0.000
Pb 0.006 0.948 0.311
Pb 0.506 0.552 0.811
Pb 0.994 0.052 0.689
Pb 0.494 0.448 0.189
Se 0.315 0.664 0.031
Se 0.815 0.836 0.531
Se 0.685 0.336 0.969
Se 0.185 0.164 0.469
Se 0.358 0.776 0.371
Se 0.858 0.724 0.871
Se 0.642 0.224 0.629
Se 0.142 0.276 0.129
Se 0.856 0.625 0.205
Se 0.356 0.875 0.705
Se 0.144 0.375 0.795
Se 0.644 0.125 0.295

No. 3
Below is a relaxed structure of NbSbRuPb2, with properties calculated at the PBE-GGA level.

Values from the calculation:
ρ (kg/m3): 7665
Uncorrected formation energy (eV/atom): 1.22

Cell lengths 5.474, 5.279, 5.474 Å; angles 90.00, 90.00, 90.00 degrees
Sites, in units of the cell vectors:
Pb 0.000 0.000 0.500
Pb 0.500 0.000 0.000
Sb 0.000 0.500 0.000
Nb 0.000 0.000 0.000
Ru 0.500 0.500 0.500

No. 4
Below is a relaxed structure of Cs2TeAuN, with properties calculated at the PBE-GGA level.

Values from the calculation:
ρ (kg/m3): 3480
Uncorrected formation energy (eV/atom): 0.43

Cell lengths 7.374, 5.304, 7.374 Å; angles 90.00, 90.00, 90.00 degrees
Sites, in units of the cell vectors:
Cs 0.000 0.000 0.500
Cs 0.500 0.000 0.000
Te 0.000 0.000 0.000
Au 0.000 0.500 0.000
N 0.500 0.500 0.500

No. 5
Below is a relaxed structure of Li3Ni2As4Pd2, with properties calculated at the PBE-GGA level.

Values from the calculation:
Energy relative to the elements (meV per atom): -406
ρ (kg/m3): 6193

Cell lengths 4.192, 4.192, 11.468 Å; angles 90.00, 90.00, 120.00 degrees
Sites, in units of the cell vectors:
Li 0.000 0.000 0.730
Li 0.000 0.000 0.000
Li 0.000 0.000 0.270
Ni 0.667 0.333 0.427
Ni 0.333 0.667 0.573
As 0.667 0.333 0.105
As 0.333 0.667 0.895
As 0.667 0.333 0.628
As 0.333 0.667 0.372
Pd 0.667 0.333 0.863
Pd 0.333 0.667 0.137

No. 6
Below is a relaxed structure of Fe2MoAs, with properties calculated at the PBE-GGA level.

Values from the calculation:
Energy relative to the elements (meV per atom): 84
ρ (kg/m3): 8734

Cell lengths 3.050, 3.050, 5.776 Å; angles 90.00, 90.00, 90.00 degrees
Sites, in units of the cell vectors:
As 0.500 0.500 0.775
Fe 0.000 0.000 0.004
Fe 0.500 0.500 0.228
Mo 0.000 0.000 0.494

No. 7
Below is a relaxed structure of Li2Np2ZnO6, with properties calculated at the PBE-GGA level.

Values from the calculation:
ρ (kg/m3): 6367
Uncorrected formation energy (eV/atom): -1.95

Cell lengths 5.940, 5.940, 6.517 Å; angles 62.89, 62.89, 60.00 degrees
Sites, in units of the cell vectors:
Li 0.414 0.414 0.758
Li 0.586 0.586 0.242
Np 0.831 0.831 0.506
Np 0.169 0.169 0.494
Zn 0.000 0.000 0.000
O 0.756 0.756 0.274
O 0.215 0.756 0.274
O 0.756 0.215 0.274
O 0.244 0.785 0.726
O 0.785 0.244 0.726
O 0.244 0.244 0.726

No. 8
Below is a relaxed structure of Tm5NiTe4, with properties calculated at the PBE-GGA level.

Values from the calculation:
ρ (kg/m3): 8561
Uncorrected formation energy (eV/atom): -1.06

Cell lengths 6.008, 7.394, 7.394 Å; angles 80.50, 66.03, 66.03 degrees
Sites, in units of the cell vectors:
Tm 0.908 0.347 0.838
Tm 0.256 0.838 0.653
Tm 0.746 0.162 0.347
Tm 0.094 0.653 0.162
Tm 0.501 0.000 0.000
Ni 0.001 0.000 0.000
Te 0.416 0.397 0.774
Te 0.812 0.774 0.603
Te 0.190 0.226 0.397
Te 0.587 0.603 0.226

No. 9
Below is a relaxed structure of MnCuS2, with properties calculated at the PBE-GGA level.

Values from the calculation:
ρ (kg/m3): 5282
Uncorrected formation energy (eV/atom): -0.14

Cell lengths 10.694, 4.492, 4.492 Å; angles 91.38, 127.29, 52.71 degrees
Sites, in units of the cell vectors:
S 0.358 0.914 0.772
S 0.858 0.728 0.586
S 0.163 0.795 0.975
S 0.663 0.525 0.705
Mn 0.264 0.163 0.158
Mn 0.764 0.342 0.337
Cu 0.233 0.570 0.587
Cu 0.733 0.913 0.930

No. 10
Below is a relaxed structure of Pm5Tl8In, with properties calculated at the PBE-GGA level.

Values from the calculation:
Energy relative to the elements (meV per atom): -209
ρ (kg/m3): 9736

Cell lengths 8.187, 8.187, 8.187 Å; angles 108.50, 111.42, 108.50 degrees
Sites, in units of the cell vectors:
Pm 0.981 0.377 0.127
Pm 0.873 0.855 0.250
Pm 0.750 0.623 0.604
Pm 0.500 0.000 0.500
Pm 0.396 0.145 0.019
Tl 0.133 0.756 0.032
Tl 0.968 0.101 0.724
Tl 0.802 0.240 0.389
Tl 0.611 0.413 0.851
Tl 0.438 0.587 0.198
Tl 0.623 0.899 0.867
Tl 0.276 0.244 0.377
Tl 0.149 0.760 0.562
In 0.250 0.500 0.750

No. 11
Below is a relaxed structure of KCr2Cl, with properties calculated at the PBE-GGA level.

Values from the calculation:
E above lowest polymorph (meV/atom): 3
ρ (kg/m3): 3163
Uncorrected formation energy (eV/atom): 0.01

Cell lengths 3.363, 3.363, 8.288 Å; angles 90.00, 90.00, 90.00 degrees
Sites, in units of the cell vectors:
Cr 0.000 0.000 0.156
Cr 0.500 0.500 0.045
K 0.000 0.000 0.544
Cl 0.500 0.500 0.755

No. 12
Below is a relaxed structure of Sm3Zn4Ir2, with properties calculated at the PBE-GGA level.

Values from the calculation:
Energy relative to the elements (meV per atom): -526
ρ (kg/m3): 9743

Cell lengths 4.297, 5.940, 8.407 Å; angles 71.16, 75.19, 68.79 degrees
Sites, in units of the cell vectors:
Sm 0.314 0.729 0.643
Sm 0.000 0.000 0.000
Sm 0.686 0.271 0.357
Zn 0.283 0.382 0.051
Zn 0.717 0.618 0.949
Zn 0.028 0.312 0.632
Zn 0.972 0.688 0.368
Ir 0.396 0.942 0.265
Ir 0.604 0.058 0.735